<w>
Compound: HfCoAsPd
Source: the Open Quantum Materials Database
Functional: PBE-GGA
Structure: optimized geometry

Properties
For the magnetization, the calculation gives 0.87 μB/f.u.

abc: 4.466 4.466 4.466
angles: 60.00 60.00 60.00
Sites, in units of the cell vectors:
Hf1 0.000 0.000 0.000
Co1 0.500 0.500 0.500
As1 0.250 0.250 0.250
Pd1 0.750 0.750 0.750


<x>
Compound: HfCoAsPd
Source: the Open Quantum Materials Database
Functional: PBE-GGA
Structure: optimized geometry

Properties
For the magnetization, the calculation gives 0.00 μB/f.u.

abc: 4.441 4.441 4.441
angles: 60.00 60.00 60.00
Sites, in units of the cell vectors:
Hf1 0.000 0.000 0.000
Co1 0.750 0.750 0.750
As1 0.500 0.500 0.500
Pd1 0.250 0.250 0.250


The structure with the most favorable energy is <x>; the runner-up is 31 meV per atom above it.